The following is a DFT calculation (PBE-GGA) of a relaxed TlZn2Cu crystal.

Calculated values
**SG**: Imm2, No. 44
**Distance to the lowest polymorph of the same formula**: 114 meV per atom
**Total DFT energy (no corrections)**: -8.044 eV per cell
**Calculated density**: 9.4 g/cm3
**E_form**: 0.242 eV/atom

Unit cell a=5.025 b=5.025 c=5.025 alpha=131.16 beta=131.12 gamma=71.59
Sites, in units of the cell vectors:
Tl 0.000 0.000 0.000
Zn 0.499 0.499 0.000
Zn 0.750 0.250 0.500
Cu 0.250 0.750 0.500

The following is a DFT calculation (PBE-GGA) of a relaxed Ti2H2Pt crystal.

Calculated values
**SG**: I4/mmm, No. 139
**Distance to the lowest polymorph of the same formula**: 0 meV per atom
**Total DFT energy (no corrections)**: -31.778 eV per cell
**Calculated density**: 9.3 g/cm3

Unit cell a=6.568 b=6.568 c=6.568 alpha=154.59 beta=154.59 gamma=36.25
Sites, in units of the cell vectors:
Ti 0.151 0.151 0.000
Ti 0.849 0.849 0.000
H 0.250 0.750 0.500
H 0.750 0.250 0.500
Pt 0.500 0.500 0.000

The following is a DFT calculation (PBE-GGA) of a relaxed CeGe2Ir2Rh crystal.

Calculated values
**SG**: P4/mmm, No. 123
**Total DFT energy (no corrections)**: -41.138 eV per cell
**Calculated density**: 11.0 g/cm3
**E_form**: -0.149 eV/atom

Unit cell a=4.657 b=4.657 c=5.371 alpha=90.00 beta=90.00 gamma=90.00
Sites, in units of the cell vectors:
Ce 0.000 0.000 0.000
Ge 0.000 0.500 0.500
Ge 0.500 0.000 0.500
Ir 0.500 0.500 0.238
Ir 0.500 0.500 0.762
Rh 0.000 0.000 0.500

The following is a DFT calculation (PBE-GGA) of a relaxed BaLi3Ti crystal.

Calculated values
**SG**: Pm-3m, No. 221
**Distance to the lowest polymorph of the same formula**: 0 meV per atom
**Total DFT energy (no corrections)**: -12.357 eV per cell
**Calculated density**: 2.1 g/cm3
**E_form**: 0.640 eV/atom

Unit cell a=5.423 b=5.423 c=5.423 alpha=90.00 beta=90.00 gamma=90.00
Sites, in units of the cell vectors:
Ba 0.000 0.000 0.000
Li 0.000 0.500 0.500
Li 0.500 0.000 0.500
Li 0.500 0.500 0.000
Ti 0.500 0.500 0.500

The following is a DFT calculation (PBE-GGA) of a relaxed PmNd4 crystal.

Calculated values
**SG**: C2/m, No. 12
**Distance to the lowest polymorph of the same formula**: 0 meV per atom
**Total DFT energy (no corrections)**: -23.776 eV per cell
**Calculated density**: 6.8 g/cm3
**E_form**: 0.009 eV/atom

Unit cell a=3.678 b=3.678 c=15.140 alpha=97.00 beta=97.00 gamma=59.90
Sites, in units of the cell vectors:
Pm 0.000 0.000 0.000
Nd 0.199 0.199 0.600
Nd 0.399 0.399 0.199
Nd 0.601 0.601 0.801
Nd 0.801 0.801 0.400

The following is a DFT calculation (PBE-GGA) of a relaxed Pm6TlBi2 crystal.

Calculated values
**SG**: P-62m, No. 189
**Total DFT energy (no corrections)**: -43.113 eV per cell
**Calculated density**: 8.5 g/cm3
**E_form**: -0.498 eV/atom

Unit cell a=8.674 b=8.674 c=4.495 alpha=90.00 beta=90.00 gamma=120.00
Sites, in units of the cell vectors:
Pm 0.000 0.253 0.000
Pm 0.000 0.591 0.500
Pm 0.253 0.000 0.000
Pm 0.409 0.409 0.500
Pm 0.591 0.000 0.500
Pm 0.747 0.747 0.000
Tl 0.000 0.000 0.500
Bi 0.333 0.667 0.000
Bi 0.667 0.333 0.000